Entry 1:
First-principles (PBE) data for a geometry-optimized TiVNiRu structure, as listed in the Alexandria database.

Computed properties:
E_form, kJ/mol of formula units: -120
N(E_F), states/eV/atom: 1.23
DFT total energy, eV per formula unit: -33.31
V, Å³/f.u.: 54.6

Cell and atoms, written as CIF:
```
data_TiVNiRu
_chemical_formula_sum 'Ti4 V4 Ni4 Ru4'
_cell_length_a 6.021
_cell_length_b 6.021
_cell_length_c 6.021
_cell_angle_alpha 90.00
_cell_angle_beta 90.00
_cell_angle_gamma 90.00
_space_group_name_H-M_alt 'F -4 3 m'
_space_group_IT_number 216
_space_group_name_Hall 'F -4 2 3'
loop_
_atom_site_label
_atom_site_type_symbol
_atom_site_fract_x
_atom_site_fract_y
_atom_site_fract_z
Ti1 Ti 0.000 0.000 0.000
V1 V 0.000 0.000 0.500
Ni1 Ni 0.250 0.250 0.750
Ru1 Ru 0.250 0.250 0.250
```

***

Entry 2:
First-principles (PBE) data for a geometry-optimized LaMg2Sc structure, as listed in the Alexandria database.

Computed properties:
E_form, kJ/mol of formula units: 0
N(E_F), states/eV/atom: 1.01
DFT total energy, eV per formula unit: -14.45
V, Å³/f.u.: 108.9

Cell and atoms, written as CIF:
```
data_LaMg2Sc
_chemical_formula_sum 'La1 Mg2 Sc1'
_cell_length_a 3.338
_cell_length_b 5.084
_cell_length_c 6.631
_cell_angle_alpha 90.00
_cell_angle_beta 104.53
_cell_angle_gamma 90.00
_space_group_name_H-M_alt 'P 1 m 1'
_space_group_IT_number 6
_space_group_name_Hall 'P -2y'
loop_
_atom_site_label
_atom_site_type_symbol
_atom_site_fract_x
_atom_site_fract_y
_atom_site_fract_z
La1 La 0.000 0.000 0.000
Mg1 Mg 0.620 0.500 0.240
Mg2 Mg 0.744 0.000 0.492
Sc1 Sc 0.344 0.500 0.690
```

***

Entry 3:
First-principles (PBE) data for a geometry-optimized KVHg structure, as listed in the Alexandria database.

Computed properties:
E_form, kJ/mol of formula units: 120
N(E_F), states/eV/atom: 0.84
DFT total energy, eV per formula unit: -9.28
V, Å³/f.u.: 104.2
Excess energy over the best structure of this formula in the dataset, meV/atom: 116

Cell and atoms, written as CIF:
```
data_KVHg
_chemical_formula_sum 'K2 V2 Hg2'
_cell_length_a 4.405
_cell_length_b 4.497
_cell_length_c 11.298
_cell_angle_alpha 78.84
_cell_angle_beta 85.85
_cell_angle_gamma 71.66
_space_group_name_H-M_alt 'P 1'
_space_group_IT_number 1
_space_group_name_Hall 'P 1'
loop_
_atom_site_label
_atom_site_type_symbol
_atom_site_fract_x
_atom_site_fract_y
_atom_site_fract_z
K1 K 0.000 0.000 0.000
K2 K 0.490 0.639 0.663
V1 V 0.030 0.897 0.317
V2 V 0.292 0.153 0.265
Hg1 Hg 0.091 0.309 0.491
Hg2 Hg 0.660 0.557 0.230
```